(1)
Below is NaOsRh after structural relaxation, with properties calculated at the PBE-GGA level.

Properties
Magnetization ... 0.00 μB per formula unit
ΔE_f ... 0.49 eV per atom
Space group ... Cm (8)

Lattice parameters (Å, degrees): 10.1165 4.3409 4.6292 90.00 100.00 90.00
Fractional coordinates of all 12 atoms:
Na1 0.0000 0.0000 0.0000
Na2 0.1149 0.0000 0.4826
Na3 0.5000 0.5000 0.0000
Na4 0.6149 0.5000 0.4826
Os1 0.3089 0.5000 0.4258
Os2 0.4183 0.0000 0.6045
Os3 0.8089 0.0000 0.4258
Os4 0.9183 0.5000 0.6045
Rh1 0.1770 0.5000 0.8421
Rh2 0.3116 0.0000 0.0513
Rh3 0.6770 0.0000 0.8421
Rh4 0.8116 0.5000 0.0513

(2)
Below is NaOsRh after structural relaxation, with properties calculated at the PBE-GGA level.

Properties
Magnetization ... 0.00 μB per formula unit
ΔE_f ... 0.43 eV per atom
Space group ... P2_1/m (11)

Lattice parameters (Å, degrees): 5.2835 3.9523 5.9939 90.00 102.66 90.00
Fractional coordinates of all 6 atoms:
Na1 0.2390 0.2500 0.4396
Na2 0.7610 0.7500 0.5604
Os1 0.3975 0.7500 0.0636
Os2 0.6025 0.2500 0.9364
Rh1 0.1014 0.2500 0.9105
Rh2 0.8986 0.7500 0.0895

(3)
Below is NaOsRh after structural relaxation, with properties calculated at the PBE-GGA level.

Properties
Magnetization ... 0.00 μB per formula unit
ΔE_f ... 0.49 eV per atom
Space group ... C2/m (12)

Lattice parameters (Å, degrees): 13.6607 2.7621 5.5875 90.00 101.91 90.00
Fractional coordinates of all 12 atoms:
Na1 0.0000 0.0000 0.0000
Na2 0.0000 0.0000 0.5000
Na3 0.5000 0.5000 0.0000
Na4 0.5000 0.5000 0.5000
Os1 0.1923 0.5000 0.3420
Os2 0.3077 0.0000 0.6580
Os3 0.6923 0.0000 0.3420
Os4 0.8077 0.5000 0.6580
Rh1 0.1819 0.5000 0.8478
Rh2 0.3181 0.0000 0.1522
Rh3 0.6819 0.0000 0.8478
Rh4 0.8181 0.5000 0.1522